Record 1
DFT (GGA-PBE) results for a geometry-optimized Pr2ZrAs2IrO2 structure.

## Properties
Electronic total energy (eV/f.u.): -61.75
Calculated volume (Å³ per cell): 152

CIF file:
```
data_Pr2ZrAs2IrO2
_chemical_formula_sum 'Pr2 Zr1 As2 Ir1 O2'
_space_group_name_H-M_alt 'P -4 m 2'
_space_group_IT_number 115
_cell_length_a 4.108
_cell_length_b 4.108
_cell_length_c 9.025
_cell_angle_alpha 90.00
_cell_angle_beta 90.00
_cell_angle_gamma 90.00
loop_
_space_group_symop_operation_xyz
'x,y,z'
'y,-x,-z'
'-x,-y,z'
'-y,x,-z'
'-x,y,z'
'-y,-x,-z'
'x,-y,z'
'y,x,-z'
loop_
_atom_site_label
_atom_site_fract_x
_atom_site_fract_y
_atom_site_fract_z
Pr1 0.000 0.500 0.131
Zr1 0.000 0.000 0.500
As1 0.000 0.500 0.684
Ir1 0.500 0.500 0.500
O1 0.000 0.000 0.000
O2 0.500 0.500 0.000
```


Record 2
DFT (GGA-PBE) results for a geometry-optimized LuScGa2 structure.

## Properties
Electronic total energy (eV/f.u.): -16.93
Calculated volume (Å³ per cell): 339

CIF file:
```
data_LuScGa2
_chemical_formula_sum 'Lu4 Sc4 Ga8'
_space_group_name_H-M_alt 'F -4 3 m'
_space_group_IT_number 216
_space_group_name_Hall 'F -4 2 3'
_cell_length_a 6.971
_cell_length_b 6.971
_cell_length_c 6.971
_cell_angle_alpha 90.00
_cell_angle_beta 90.00
_cell_angle_gamma 90.00
loop_
_atom_site_label
_atom_site_fract_x
_atom_site_fract_y
_atom_site_fract_z
Lu1 0.000 0.000 0.000
Sc1 0.250 0.250 0.750
Ga1 0.000 0.000 0.500
Ga2 0.250 0.250 0.250
```


Record 3
DFT (GGA-PBE) results for a geometry-optimized CsThTl structure.

## Properties
Electronic total energy (eV/f.u.): -7.08
Calculated volume (Å³ per cell): 452

CIF file:
```
data_CsThTl
_chemical_formula_sum 'Cs4 Th4 Tl4'
_space_group_name_H-M_alt 'F -4 3 m'
_space_group_IT_number 216
_space_group_name_Hall 'F -4 2 3'
_cell_length_a 7.675
_cell_length_b 7.675
_cell_length_c 7.675
_cell_angle_alpha 90.00
_cell_angle_beta 90.00
_cell_angle_gamma 90.00
loop_
_atom_site_label
_atom_site_fract_x
_atom_site_fract_y
_atom_site_fract_z
Cs1 0.000 0.000 0.000
Th1 0.250 0.250 0.750
Tl1 0.250 0.250 0.250
```


Record 4
DFT (GGA-PBE) results for a geometry-optimized NiGe64 structure.

## Properties
Electronic total energy (eV/f.u.): -300.04
Calculated volume (Å³ per cell): 1521

CIF file:
```
data_NiGe64
_chemical_formula_sum 'Ni1 Ge64'
_space_group_name_H-M_alt 'P -4 3 m'
_space_group_IT_number 215
_space_group_name_Hall 'P -4 2 3'
_cell_length_a 11.501
_cell_length_b 11.501
_cell_length_c 11.501
_cell_angle_alpha 90.00
_cell_angle_beta 90.00
_cell_angle_gamma 90.00
loop_
_atom_site_label
_atom_site_fract_x
_atom_site_fract_y
_atom_site_fract_z
Ni1 0.000 0.000 0.000
Ge1 0.000 0.000 0.250
Ge2 0.000 0.250 0.500
Ge3 0.125 0.125 0.375
Ge4 0.125 0.375 0.625
Ge5 0.126 0.126 0.874
Ge6 0.250 0.250 0.250
Ge7 0.250 0.500 0.500
Ge8 0.251 0.251 0.749
Ge9 0.375 0.375 0.375
```


Record 5
DFT (GGA-PBE) results for a geometry-optimized Y2MgNi9 structure.

## Properties
Electronic total energy (eV/f.u.): -67.97
Calculated volume (Å³ per cell): 506

CIF file:
```
data_Y2MgNi9
_chemical_formula_sum 'Y6 Mg3 Ni27'
_space_group_name_H-M_alt 'R -3 m'
_space_group_IT_number 166
_space_group_name_Hall '-R 3 2"'
_cell_length_a 4.9094
_cell_length_b 4.9094
_cell_length_c 24.2617
_cell_angle_alpha 90.00
_cell_angle_beta 90.00
_cell_angle_gamma 120.00
loop_
_atom_site_label
_atom_site_fract_x
_atom_site_fract_y
_atom_site_fract_z
Y1 0.0000 0.0000 0.1362
Mg1 0.0000 0.0000 0.0000
Ni1 0.0000 0.0000 0.3331
Ni2 0.0000 0.0000 0.5000
Ni3 0.9997 0.4998 0.0813
```


Record 6
DFT (GGA-PBE) results for a geometry-optimized YZnFeSi structure.

## Properties
Electronic total energy (eV/f.u.): -21.46
Calculated volume (Å³ per cell): 257

CIF file:
```
data_YZnFeSi
_chemical_formula_sum 'Y4 Zn4 Fe4 Si4'
_space_group_name_H-M_alt 'F -4 3 m'
_space_group_IT_number 216
_space_group_name_Hall 'F -4 2 3'
_cell_length_a 6.355
_cell_length_b 6.355
_cell_length_c 6.355
_cell_angle_alpha 90.00
_cell_angle_beta 90.00
_cell_angle_gamma 90.00
loop_
_atom_site_label
_atom_site_fract_x
_atom_site_fract_y
_atom_site_fract_z
Y1 0.000 0.000 0.000
Zn1 0.250 0.250 0.250
Fe1 0.250 0.250 0.750
Si1 0.000 0.000 0.500
```


Record 7
DFT (GGA-PBE) results for a geometry-optimized ZnTcAsO structure.

## Properties
Electronic total energy (eV/f.u.): -22.66
Calculated volume (Å³ per cell): 117

CIF file:
```
data_ZnTcAsO
_chemical_formula_sum 'Zn2 Tc2 As2 O2'
_space_group_name_H-M_alt 'P m c 21'
_space_group_IT_number 26
_cell_length_a 3.989
_cell_length_b 5.081
_cell_length_c 5.750
_cell_angle_alpha 90.00
_cell_angle_beta 90.00
_cell_angle_gamma 90.00
loop_
_space_group_symop_operation_xyz
'x,y,z'
'-x,-y,z+1/2'
'-x,y,z'
'x,-y,z+1/2'
loop_
_atom_site_label
_atom_site_fract_x
_atom_site_fract_y
_atom_site_fract_z
Zn1 0.000 0.236 0.000
Tc1 0.500 0.145 0.361
As1 0.500 0.354 0.757
O1 0.000 0.155 0.353
```


Record 8
DFT (GGA-PBE) results for a geometry-optimized YCd structure.

## Properties
Energy of formation (meV per atom): -31
Calculated volume (Å³ per cell): 116

CIF file:
```
data_YCd
_chemical_formula_sum 'Y2 Cd2'
_space_group_name_H-M_alt 'P 63/m m c'
_space_group_IT_number 194
_space_group_name_Hall '-P 6c 2c'
_cell_length_a 4.4140
_cell_length_b 4.4140
_cell_length_c 6.8618
_cell_angle_alpha 90.00
_cell_angle_beta 90.00
_cell_angle_gamma 120.00
loop_
_atom_site_label
_atom_site_fract_x
_atom_site_fract_y
_atom_site_fract_z
Y1 0.3333 0.6667 0.2500
Cd1 0.0000 0.0000 0.0000
```


Record 9
DFT (GGA-PBE) results for a geometry-optimized Cu7Ag3 structure.

## Properties
Energy of formation (meV per atom): 102
Calculated volume (Å³ per cell): 276

CIF file:
```
data_Cu7Ag3
_chemical_formula_sum 'Cu14 Ag6'
_space_group_name_H-M_alt 'C 1 2/m 1'
_space_group_IT_number 12
_cell_length_a 4.679
_cell_length_b 13.541
_cell_length_c 4.618
_cell_angle_alpha 90.00
_cell_angle_beta 109.36
_cell_angle_gamma 90.00
loop_
_space_group_symop_operation_xyz
'x,y,z'
'-x,-y,-z'
'-x,y,-z'
'x,-y,z'
'x+1/2,y+1/2,z'
'-x+1/2,-y+1/2,-z'
'-x+1/2,y+1/2,-z'
'x+1/2,-y+1/2,z'
loop_
_atom_site_label
_atom_site_fract_x
_atom_site_fract_y
_atom_site_fract_z
Cu1 0.000 0.000 0.000
Cu2 0.000 0.096 0.500
Cu3 0.000 0.192 0.000
Cu4 0.000 0.400 0.000
Ag1 0.000 0.299 0.500
Ag2 0.000 0.500 0.500
```


Record 10
DFT (GGA-PBE) results for a geometry-optimized AcReB4 structure.

## Properties
Electronic total energy (eV/f.u.): -42.81
Calculated volume (Å³ per cell): 68

CIF file:
```
data_AcReB4
_chemical_formula_sum 'Ac1 Re1 B4'
_space_group_name_H-M_alt 'P 6/m m m'
_space_group_IT_number 191
_space_group_name_Hall '-P 6 2'
_cell_length_a 3.1961
_cell_length_b 3.1961
_cell_length_c 7.6624
_cell_angle_alpha 90.00
_cell_angle_beta 90.00
_cell_angle_gamma 120.00
loop_
_atom_site_label
_atom_site_fract_x
_atom_site_fract_y
_atom_site_fract_z
Ac1 0.0000 0.0000 0.0000
Re1 0.0000 0.0000 0.5000
B1 0.3333 0.6667 0.2972
```


Record 11
DFT (GGA-PBE) results for a geometry-optimized La2GdTlZn3In2 structure.

## Properties
Electronic total energy (eV/f.u.): -29.34
Calculated volume (Å³ per cell): 458

CIF file:
```
data_La2GdTlZn3In2
_chemical_formula_sum 'La4 Gd2 Tl2 Zn6 In4'
_space_group_name_H-M_alt 'A m m 2'
_space_group_IT_number 38
_cell_length_a 4.690
_cell_length_b 12.926
_cell_length_c 7.555
_cell_angle_alpha 90.00
_cell_angle_beta 90.00
_cell_angle_gamma 90.00
loop_
_space_group_symop_operation_xyz
'x,y,z'
'-x,-y,z'
'-x,y,z'
'x,-y,z'
'x,y+1/2,z+1/2'
'-x,-y+1/2,z+1/2'
'-x,y+1/2,z+1/2'
'x,-y+1/2,z+1/2'
loop_
_atom_site_label
_atom_site_fract_x
_atom_site_fract_y
_atom_site_fract_z
La1 0.000 0.215 0.000
Gd1 0.000 0.000 0.357
Tl1 0.000 0.000 0.776
Zn1 0.500 0.000 0.032
Zn2 0.500 0.126 0.659
In1 0.500 0.161 0.286
```


Question: Among the records above, which one has the lowest calculated volume?
Answer: AcReB4


Question: Which value of calculated volume does entry 3 give?
Answer: 452 Å³ per cell


Question: Which value of calculated volume does entry 9 give?
Answer: 276 Å³ per cell